#one
This record from the Alexandria database describes crystalline SmEr3Co2 at its relaxed geometry. The functional is PBE.

Lattice parameters (Å, degrees): 8.3850 8.3850 11.6377 123.55 123.55 25.72
Sites, in units of the cell vectors:
Sm 0.1561 0.1561 0.2440
Sm 0.8439 0.8439 0.7560
Er 0.1582 0.1582 0.7480
Er 0.4147 0.4147 0.0634
Er 0.4159 0.4159 0.5542
Er 0.5841 0.5841 0.4458
Er 0.5853 0.5853 0.9366
Er 0.8418 0.8418 0.2520
Co 0.2329 0.2329 0.0470
Co 0.2353 0.2353 0.5501
Co 0.7647 0.7647 0.4499
Co 0.7671 0.7671 0.9530

Results
density of states at the Fermi level = 7.524 states/eV/f.u.
theoretical density = 8743 kg/m3

***

#two
This record from the Alexandria database describes crystalline SmEr3Co2 at its relaxed geometry. The functional is PBE.

Lattice parameters (Å, degrees): 8.2413 8.2413 11.3508 121.33 121.33 27.89
Sites, in units of the cell vectors:
Sm 0.0628 0.0628 0.1929
Sm 0.9372 0.9372 0.8071
Er 0.1918 0.1918 0.5647
Er 0.3111 0.3111 0.9426
Er 0.4347 0.4347 0.3113
Er 0.5653 0.5653 0.6887
Er 0.6889 0.6889 0.0574
Er 0.8082 0.8082 0.4353
Co 0.1261 0.1261 0.8723
Co 0.3761 0.3761 0.6162
Co 0.6239 0.6239 0.3838
Co 0.8739 0.8739 0.1277

Results
density of states at the Fermi level = 5.349 states/eV/f.u.
theoretical density = 8399 kg/m3

***

Most stable pick: #one. Distance to second place: 0.061 eV/atom.

***

#one
This record from the Alexandria database describes crystalline Er2CoSn at its relaxed geometry. The functional is PBE.

Lattice parameters (Å, degrees): 8.8249 8.8249 6.0336 90.00 90.00 125.78
Sites, in units of the cell vectors:
Er 0.0747 0.4253 0.7500
Er 0.1270 0.8730 0.7610
Er 0.3730 0.6270 0.2610
Er 0.4253 0.0747 0.2500
Er 0.5747 0.9253 0.7500
Er 0.6270 0.3730 0.7390
Er 0.8730 0.1270 0.2390
Er 0.9253 0.5747 0.2500
Co 0.0537 0.9463 0.2042
Co 0.4463 0.5537 0.7042
Co 0.5537 0.4463 0.2958
Co 0.9463 0.0537 0.7958
Sn 0.2285 0.2285 0.5000
Sn 0.2715 0.2715 0.0000
Sn 0.7285 0.7285 0.0000
Sn 0.7715 0.7715 0.5000

Results
density of states at the Fermi level = 4.822 states/eV/f.u.
theoretical density = 8924 kg/m3

***

#two
This record from the Alexandria database describes crystalline Er2CoSn at its relaxed geometry. The functional is PBE.

Lattice parameters (Å, degrees): 9.6111 9.6111 9.6111 21.99 21.99 21.99
Sites, in units of the cell vectors:
Er 0.1125 0.1125 0.1125
Er 0.8875 0.8875 0.8875
Co 0.5000 0.5000 0.5000
Sn 0.0000 0.0000 0.0000

Results
density of states at the Fermi level = 2.758 states/eV/f.u.
theoretical density = 7791 kg/m3

***

#three
This record from the Alexandria database describes crystalline Er2CoSn at its relaxed geometry. The functional is PBE.

Lattice parameters (Å, degrees): 3.3670 3.3670 7.7847 90.00 90.00 90.00
Sites, in units of the cell vectors:
Er 0.0000 0.0000 0.2061
Er 0.0000 0.0000 0.7939
Co 0.5000 0.5000 0.0000
Sn 0.5000 0.5000 0.5000

Results
density of states at the Fermi level = 2.317 states/eV/f.u.
theoretical density = 9637 kg/m3

***

Most stable pick: #three. Distance to second place: 0.179 eV/atom.

***

#one
This record from the Alexandria database describes crystalline Er4CoSn at its relaxed geometry. The functional is PBE.

Lattice parameters (Å, degrees): 8.7462 8.7462 5.7489 108.98 108.98 47.69
Sites, in units of the cell vectors:
Er 0.1384 0.6273 0.3847
Er 0.2116 0.7884 0.0000
Er 0.3233 0.3233 0.8263
Er 0.3727 0.8616 0.6153
Er 0.6273 0.1384 0.3847
Er 0.6767 0.6767 0.1737
Er 0.7884 0.2116 0.0000
Er 0.8616 0.3727 0.6153
Co 0.4999 0.4999 0.2661
Co 0.5001 0.5001 0.7339
Sn 0.1953 0.1953 0.1964
Sn 0.8047 0.8047 0.8036

Results
density of states at the Fermi level = 5.127 states/eV/f.u.
theoretical density = 9251 kg/m3

***

#two
This record from the Alexandria database describes crystalline Er4CoSn at its relaxed geometry. The functional is PBE.

Lattice parameters (Å, degrees): 7.8036 7.8036 5.8938 100.82 100.82 112.70
Sites, in units of the cell vectors:
Er 0.0540 0.7279 0.9460
Er 0.2090 0.3601 0.6301
Er 0.2721 0.9460 0.5540
Er 0.3601 0.2090 0.1301
Er 0.6399 0.7910 0.8699
Er 0.7279 0.0540 0.4460
Er 0.7910 0.6399 0.3699
Er 0.9460 0.2721 0.0540
Co 0.0000 0.0000 0.2500
Co 0.0000 0.0000 0.7500
Sn 0.3722 0.6278 0.2500
Sn 0.6278 0.3722 0.7500

Results
density of states at the Fermi level = 4.949 states/eV/f.u.
theoretical density = 9026 kg/m3

***

Most stable pick: #one. Distance to second place: 0.009 eV/atom.